{"formula": "Sn3SbCl", "functional": "PBE", "state": "optimized geometry", "cell": [[5.8486, 0.0000, 0.0000], [0.0000, 5.8486, 0.0000], [0.0000, 0.0000, 5.8486]], "species": ["Sn", "Sn", "Sn", "Sb", "Cl"], "frac_coords": [[0.0000, 0.0000, 0.5000], [0.0000, 0.5000, 0.0000], [0.5000, 0.0000, 0.0000], [0.0000, 0.0000, 0.0000], [0.5000, 0.5000, 0.5000]], "e_form_raw_mev_per_atom": 482, "e_tot_ev_per_atom": -3.113}